Record 1
A plane-wave DFT calculation with PBE-GGA was carried out for a relaxed Li6In3Ag2 crystal.

Cell and atoms, written as POSCAR:
```
Li6In3Ag2
1.0
-3.393 -1.609 3.122
3.484 -0.994 3.274
-0.960 10.582 0.592
Li In Ag
6 3 2
Cartesian
1.587 1.077 2.280
-1.851 0.769 2.204
-2.455 6.902 4.708
0.983 7.210 4.784
-0.318 2.389 4.705
-0.550 5.591 2.283
0.000 0.000 0.000
-0.576 5.010 5.775
-0.292 2.969 1.213
-0.793 8.058 3.291
-0.075 -0.078 3.697
```

Calculated values
Crystal system   tetragonal
Formation enthalpy at 0 K   -30 kJ/mol of formula units
Total magnetization   0.00 μB per formula unit



Record 2
A plane-wave DFT calculation with PBE-GGA was carried out for a relaxed Li4In2Ag5 crystal.

Cell and atoms, written as POSCAR:
```
Li4In2Ag5
1.0
-3.449 -0.585 4.400
-3.311 -4.586 0.385
3.760 -2.887 6.154
Li In Ag
4 2 5
Cartesian
-2.284 -5.956 4.599
-0.716 -2.103 6.341
-1.326 -5.822 8.958
-1.674 -2.236 1.981
-0.308 -5.017 6.273
-2.692 -3.042 4.667
1.773 -3.036 6.342
-4.773 -5.023 4.598
0.225 -3.737 3.270
0.019 -3.333 8.579
-3.019 -4.725 2.360
```

Calculated values
Excess energy over the best structure of this formula in the dataset   0.000 eV/f.u.
Crystal system   monoclinic
Formation enthalpy at 0 K   -152 kJ/mol of formula units
Total magnetization   0.00 μB per formula unit